Record 1
First-principles (PBE) data for an optimized crystal structure of BaSrLa2Co, as listed in the Alexandria database.

- excess energy over the best structure of this formula in the dataset (meV/atom) = 0
- energy (eV/atom) = -4.0735
- DFT formation energy (eV/f.u.) = 0.20
- space group = P4/mmm
- crystal system = tetragonal

Structure (POSCAR):
```
BaSrLa2Co
1.0
-4.3316 1.3943 3.1308
2.1057 -2.8983 4.2042
3.0945 5.1389 1.9927
Sr Co Ba La
1 1 1 2
Direct
0.0000 0.0000 0.5000
0.0000 0.0000 0.0000
0.5000 0.5000 0.5000
0.0000 0.5000 0.0000
0.5000 0.0000 0.0000
```

---

Record 2
First-principles (PBE) data for an optimized crystal structure of BaSrLa2Co, as listed in the Alexandria database.

- excess energy over the best structure of this formula in the dataset (meV/atom) = 26
- energy (eV/atom) = -4.0475
- DFT formation energy (eV/f.u.) = 0.33
- space group = P4/mmm
- crystal system = tetragonal

Structure (POSCAR):
```
BaSrLa2Co
1.0
5.5260 0.0000 0.0000
0.0000 5.5260 0.0000
0.0000 0.0000 6.4240
Sr Co Ba La
1 1 1 2
Direct
0.5000 0.5000 0.5000
0.0000 0.0000 0.0000
0.0000 0.0000 0.5000
0.0000 0.5000 0.0000
0.5000 0.0000 0.0000
```

---

Record 3
First-principles (PBE) data for an optimized crystal structure of BaLaTl2Co, as listed in the Alexandria database.

- energy (eV/atom) = -3.9130
- DFT formation energy (eV/f.u.) = -0.88
- space group = P4/mmm
- crystal system = tetragonal

Structure (POSCAR):
```
BaLaTl2Co
1.0
-3.2753 -1.3746 -4.1294
-2.0182 -4.0990 2.9654
-3.5121 3.0178 1.7811
Tl Co Ba La
2 1 1 1
Direct
0.0000 0.5000 0.0000
0.5000 0.0000 0.0000
0.0000 0.0000 0.0000
0.5000 0.5000 0.5000
0.0000 0.0000 0.5000
```

---

Record 4
First-principles (PBE) data for an optimized crystal structure of BaLa2ZnCo, as listed in the Alexandria database.

- energy (eV/atom) = -4.0483
- DFT formation energy (eV/f.u.) = -0.08
- space group = P4/mmm
- crystal system = tetragonal

Structure (POSCAR):
```
BaLa2ZnCo
1.0
5.3774 0.0000 0.0000
0.0000 5.3774 0.0000
0.0000 0.0000 5.1469
Zn Co Ba La
1 1 1 2
Direct
0.0000 0.0000 0.5000
0.0000 0.0000 0.0000
0.5000 0.5000 0.5000
0.0000 0.5000 0.0000
0.5000 0.0000 0.0000
```